Record 1
Material: SmYNi
Method: DFT, PBE
State: optimized geometry

```
data_SmYNi
_chemical_formula_sum 'Sm2 Y2 Ni2'
_symmetry_space_group_name_H-M 'P 1'
_symmetry_Int_Tables_number 1
_cell_length_a 3.620
_cell_length_b 6.838
_cell_length_c 6.992
_cell_angle_alpha 111.47
_cell_angle_beta 104.99
_cell_angle_gamma 90.07
loop_
_symmetry_equiv_pos_as_xyz
'x,y,z'
loop_
_atom_site_label
_atom_site_type_symbol
_atom_site_fract_x
_atom_site_fract_y
_atom_site_fract_z
_atom_site_occupancy
Sm1 Sm 0.000 0.000 0.000 1
Sm2 Sm 0.259 0.992 0.520 1
Y1 Y 0.304 0.512 0.607 1
Y2 Y 0.563 0.501 0.127 1
Ni1 Ni 0.669 0.200 0.338 1
Ni2 Ni 0.894 0.311 0.789 1
```

***

Record 2
Material: MnNi5
Method: DFT, PBE
State: optimized geometry

```
data_MnNi5
_chemical_formula_sum 'Mn1 Ni5'
_symmetry_space_group_name_H-M 'P -6 2 m'
_symmetry_Int_Tables_number 189
_symmetry_space_group_name_Hall 'P -6 -2'
_cell_length_a 4.3639
_cell_length_b 4.3639
_cell_length_c 4.0826
_cell_angle_alpha 90.00
_cell_angle_beta 90.00
_cell_angle_gamma 120.00
loop_
_atom_site_label
_atom_site_type_symbol
_atom_site_fract_x
_atom_site_fract_y
_atom_site_fract_z
_atom_site_occupancy
Mn1 Mn 0.0000 0.0000 0.0000 1
Ni1 Ni 0.0000 0.6574 0.5000 1
Ni2 Ni 0.3333 0.6667 0.0000 1
```

***

Record 3
Material: YZr2Pd2
Method: DFT, PBE
State: optimized geometry

```
data_YZr2Pd2
_chemical_formula_sum 'Y2 Zr4 Pd4'
_symmetry_space_group_name_H-M 'P 4/m b m'
_symmetry_Int_Tables_number 127
_symmetry_space_group_name_Hall '-P 4 2ab'
_cell_length_a 8.090
_cell_length_b 8.090
_cell_length_c 3.185
_cell_angle_alpha 90.00
_cell_angle_beta 90.00
_cell_angle_gamma 90.00
loop_
_atom_site_label
_atom_site_type_symbol
_atom_site_fract_x
_atom_site_fract_y
_atom_site_fract_z
_atom_site_occupancy
Y1 Y 0.000 0.000 0.000 1
Zr1 Zr 0.149 0.351 0.000 1
Pd1 Pd 0.147 0.647 0.500 1
```

***

Record 4
Material: Li3P
Method: DFT, PBE
State: optimized geometry

```
data_Li3P
_chemical_formula_sum 'Li3 P1'
_symmetry_space_group_name_H-M 'P 4/m m m'
_symmetry_Int_Tables_number 123
_symmetry_space_group_name_Hall '-P 4 2'
_cell_length_a 3.827
_cell_length_b 3.827
_cell_length_c 3.856
_cell_angle_alpha 90.00
_cell_angle_beta 90.00
_cell_angle_gamma 90.00
loop_
_atom_site_label
_atom_site_type_symbol
_atom_site_fract_x
_atom_site_fract_y
_atom_site_fract_z
_atom_site_occupancy
Li1 Li 0.000 0.000 0.000 1
Li2 Li 0.000 0.500 0.500 1
P1 P 0.500 0.500 0.000 1
```

***

Number 1: theoretical density 6.4 g cm⁻³, formation energy -0.23 eV per atom. Number 2: theoretical density 8.6 g cm⁻³, formation energy -0.03 eV per atom. Number 3: theoretical density 7.7 g cm⁻³, formation energy -0.39 eV per atom. Number 4: theoretical density 1.5 g cm⁻³, formation energy -0.42 eV per atom.